Entry 1:
A plane-wave DFT calculation with PBEsol was carried out for a relaxed structure of GaIO2.

Summary:
DFT total energy	-4.65	eV/atom
magnetic moment	0.00	μB/cell
space-group type	I-42d (122)

abc: 5.4482 5.7871 5.4482
angles: 61.92 90.00 118.08
With the nearest neighbours (Å) after each atom.
Atoms (fractional coordinates):
O  0.8750  0.2500  0.4870  2 Ga 1.84
O  0.2630  0.7500  0.8750  2 Ga 1.84
O  0.4870  0.7500  0.3750  2 Ga 1.84
O  0.3750  0.2500  0.2630  2 Ga 1.84
I  0.0000  0.0000  0.0000  4 O 2.74
I  0.7500  0.5000  0.7500  4 O 2.74
Ga  0.5000  0.0000  0.5000  4 O 1.84
Ga  0.2500  0.5000  0.2500  4 O 1.84

Entry 2:
A plane-wave DFT calculation with PBEsol was carried out for a relaxed structure of Ga3IO.

Summary:
DFT total energy	-2.31	eV/atom
magnetic moment	0.45	μB/cell
space-group type	Pm-3m (221)

abc: 5.9137 5.9137 5.9137
angles: 90.00 90.00 90.00
With the nearest neighbours (Å) after each atom.
Atoms (fractional coordinates):
Ga  0.5000  0.0000  0.0000  2 I 2.96
Ga  0.0000  0.0000  0.5000  2 I 2.96
Ga  0.0000  0.5000  0.0000  2 I 2.96
O  0.5000  0.5000  0.5000  12 Ga 4.18
I  0.0000  0.0000  0.0000  6 Ga 2.96

Entry 3:
A plane-wave DFT calculation with PBEsol was carried out for a relaxed structure of Ga2OsIO.

Summary:
DFT total energy	-4.88	eV/atom
magnetic moment	0.13	μB/cell
space-group type	P4/mmm (123)

abc: 3.6804 5.3168 5.3168
angles: 90.00 90.00 90.00
With the nearest neighbours (Å) after each atom.
Atoms (fractional coordinates):
Os  0.5000  0.0000  0.0000  2 O 1.84
Ga  0.0000  0.0000  0.5000  2 O 2.66
Ga  0.0000  0.5000  0.0000  2 O 2.66
I  0.5000  0.5000  0.5000  8 Ga 3.23
O  0.0000  0.0000  0.0000  2 Os 1.84

Entry 4:
A plane-wave DFT calculation with PBEsol was carried out for a relaxed structure of GaReI2O.

Summary:
DFT total energy	-4.38	eV/atom
magnetic moment	3.85	μB/cell
space-group type	P4/mmm (123)

abc: 3.5129 5.6101 5.6101
angles: 90.00 90.00 90.00
With the nearest neighbours (Å) after each atom.
Atoms (fractional coordinates):
O  0.5000  0.0000  0.0000  2 Ga 1.76
I  0.0000  0.5000  0.0000  2 Ga 2.81
I  0.0000  0.0000  0.5000  2 Ga 2.81
Re  0.5000  0.5000  0.5000  8 I 3.31, 2 Re 3.51
Ga  0.0000  0.0000  0.0000  2 O 1.76

Entry 5:
A plane-wave DFT calculation with PBEsol was carried out for a relaxed structure of GaRuI2O.

Summary:
DFT total energy	-4.72	eV/atom
magnetic moment	0.00	μB/cell
space-group type	P4/mmm (123)

abc: 3.6960 5.5687 5.5687
angles: 90.00 90.00 90.00
With the nearest neighbours (Å) after each atom.
Atoms (fractional coordinates):
Ru  0.0000  0.0000  0.0000  2 O 1.85
I  0.0000  0.5000  0.0000  2 Ru 2.78
I  0.0000  0.0000  0.5000  2 Ru 2.78
O  0.5000  0.0000  0.0000  2 Ru 1.85
Ga  0.5000  0.5000  0.5000  8 I 3.34, 2 Ga 3.70

Entry 6:
A plane-wave DFT calculation with PBEsol was carried out for a relaxed structure of GaRuIO2.

Summary:
DFT total energy	-4.99	eV/atom
magnetic moment	2.87	μB/cell
space-group type	P4/mmm (123)

abc: 3.7391 3.7391 6.1369
angles: 90.00 90.00 90.00
With the nearest neighbours (Å) after each atom.
Atoms (fractional coordinates):
Ga  0.0000  0.0000  0.0000  4 O 1.87
O  0.5000  0.0000  0.0000  2 Ga 1.87
O  0.0000  0.5000  0.0000  2 Ga 1.87
Ru  0.5000  0.5000  0.5000  4 I 2.64
I  0.0000  0.0000  0.5000  4 Ru 2.64

Entry 7:
A plane-wave DFT calculation with PBEsol was carried out for a relaxed structure of SrGaI2O.

Summary:
DFT total energy	-3.49	eV/atom
magnetic moment	1.01	μB/cell
space-group type	P4/mmm (123)

abc: 4.5018 6.3363 6.3363
angles: 90.00 90.00 90.00
With the nearest neighbours (Å) after each atom.
Atoms (fractional coordinates):
Ga  0.5000  0.5000  0.5000  8 I 3.89
Sr  0.0000  0.0000  0.0000  2 O 2.25
I  0.0000  0.5000  0.0000  2 Sr 3.17
I  0.0000  0.0000  0.5000  2 Sr 3.17
O  0.5000  0.0000  0.0000  2 Sr 2.25

Entry 8:
A plane-wave DFT calculation with PBEsol was carried out for a relaxed structure of GaTeIO2.

Summary:
DFT total energy	-3.87	eV/atom
magnetic moment	0.84	μB/cell
space-group type	P4/mmm (123)

abc: 3.9805 3.9805 6.3353
angles: 90.00 90.00 90.00
With the nearest neighbours (Å) after each atom.
Atoms (fractional coordinates):
O  0.0000  0.5000  0.0000  2 Ga 1.99
O  0.5000  0.0000  0.0000  2 Ga 1.99
I  0.0000  0.0000  0.5000  4 Te 2.81
Te  0.5000  0.5000  0.5000  4 I 2.81
Ga  0.0000  0.0000  0.0000  4 O 1.99

Entry 9:
A plane-wave DFT calculation with PBEsol was carried out for a relaxed structure of ZrGaIO2.

Summary:
DFT total energy	-5.32	eV/atom
magnetic moment	0.02	μB/cell
space-group type	P4/mmm (123)

abc: 3.9535 3.9535 5.2886
angles: 90.00 90.00 90.00
With the nearest neighbours (Å) after each atom.
Atoms (fractional coordinates):
Ga  0.0000  0.0000  0.0000  4 O 1.98
Zr  0.5000  0.5000  0.5000  4 I 2.80
I  0.0000  0.0000  0.5000  2 Ga 2.64, 4 Zr 2.80
O  0.5000  0.0000  0.0000  2 Ga 1.98
O  0.0000  0.5000  0.0000  2 Ga 1.98

Entry 10:
A plane-wave DFT calculation with PBEsol was carried out for a relaxed structure of Ga3OsI.

Summary:
DFT total energy	-2.73	eV/atom
magnetic moment	2.58	μB/cell
space-group type	Pm-3m (221)

abc: 5.4931 5.4931 5.4931
angles: 90.00 90.00 90.00
With the nearest neighbours (Å) after each atom.
Atoms (fractional coordinates):
I  0.0000  0.0000  0.0000  6 Ga 2.75
Ga  0.0000  0.5000  0.0000  2 I 2.75
Ga  0.0000  0.0000  0.5000  2 I 2.75
Ga  0.5000  0.0000  0.0000  2 I 2.75
Os  0.5000  0.5000  0.5000  12 Ga 3.88

Entry 11:
A plane-wave DFT calculation with PBEsol was carried out for a relaxed structure of GaSbOsI2.

Summary:
DFT total energy	-3.16	eV/atom
magnetic moment	3.46	μB/cell
space-group type	P4/mmm (123)

abc: 5.2869 5.2869 5.3490
angles: 90.00 90.00 90.00
With the nearest neighbours (Å) after each atom.
Atoms (fractional coordinates):
I  0.5000  0.0000  0.0000  2 Ga 2.64
I  0.0000  0.5000  0.0000  2 Ga 2.64
Os  0.5000  0.5000  0.5000  4 Sb 3.74, 8 I 3.76
Sb  0.0000  0.0000  0.5000  2 Ga 2.67
Ga  0.0000  0.0000  0.0000  4 I 2.64, 2 Sb 2.67

Entry 12:
A plane-wave DFT calculation with PBEsol was carried out for a relaxed structure of GaP2I.

Summary:
DFT total energy	-3.43	eV/atom
magnetic moment	0.00	μB/cell
space-group type	Fm-3m (225)

abc: 4.7681 4.7681 4.7681
angles: 60.00 60.00 60.00
With the nearest neighbours (Å) after each atom.
Atoms (fractional coordinates):
Ga  0.0000  0.0000  0.0000  8 P 2.92
P  0.7500  0.7500  0.7500  4 I 2.92, 4 Ga 2.92
P  0.2500  0.2500  0.2500  4 Ga 2.92, 4 I 2.92
I  0.5000  0.5000  0.5000  8 P 2.92

Entry 13:
A plane-wave DFT calculation with PBEsol was carried out for a relaxed structure of GaTePbI2.

Summary:
DFT total energy	-2.92	eV/atom
magnetic moment	0.00	μB/cell
space-group type	P4/mmm (123)

abc: 5.5090 5.4647 5.4647
angles: 90.00 90.00 90.00
With the nearest neighbours (Å) after each atom.
Atoms (fractional coordinates):
I  0.0000  0.0000  0.5000  2 Ga 2.73
I  0.0000  0.5000  0.0000  2 Ga 2.73
Ga  0.0000  0.0000  0.0000  4 I 2.73, 2 Te 2.75
Pb  0.5000  0.5000  0.5000  4 Te 3.86, 8 I 3.88
Te  0.5000  0.0000  0.0000  2 Ga 2.75

Entry 14:
A plane-wave DFT calculation with PBEsol was carried out for a relaxed structure of GaPdI2.

Summary:
DFT total energy	-3.01	eV/atom
magnetic moment	0.00	μB/cell
space-group type	Fm-3m (225)

abc: 5.1317 5.1317 5.1317
angles: 60.00 60.00 60.00
With the nearest neighbours (Å) after each atom.
Atoms (fractional coordinates):
I  0.2500  0.2500  0.2500  4 Pd 3.14, 4 Ga 3.14
I  0.7500  0.7500  0.7500  4 Ga 3.14, 4 Pd 3.14
Pd  0.5000  0.5000  0.5000  8 I 3.14
Ga  0.0000  0.0000  0.0000  8 I 3.14

Entry 15:
A plane-wave DFT calculation with PBEsol was carried out for a relaxed structure of GaTe2PdI.

Summary:
DFT total energy	-3.45	eV/atom
magnetic moment	0.00	μB/cell
space-group type	P4/mmm (123)

abc: 5.2122 5.2122 5.5050
angles: 90.00 90.00 90.00
With the nearest neighbours (Å) after each atom.
Atoms (fractional coordinates):
I  0.0000  0.0000  0.5000  2 Pd 2.75
Ga  0.5000  0.5000  0.5000  4 I 3.69, 8 Te 3.79
Te  0.0000  0.5000  0.0000  2 Pd 2.61
Te  0.5000  0.0000  0.0000  2 Pd 2.61
Pd  0.0000  0.0000  0.0000  4 Te 2.61, 2 I 2.75

Entry 16:
A plane-wave DFT calculation with PBEsol was carried out for a relaxed structure of GaPt3I.

Summary:
DFT total energy	-4.54	eV/atom
magnetic moment	0.00	μB/cell
space-group type	Pm-3m (221)

abc: 4.6497 4.6497 4.6497
angles: 90.00 90.00 90.00
With the nearest neighbours (Å) after each atom.
Atoms (fractional coordinates):
Ga  0.0000  0.0000  0.0000  6 Pt 2.32
I  0.5000  0.5000  0.5000  12 Pt 3.29
Pt  0.0000  0.0000  0.5000  2 Ga 2.32
Pt  0.0000  0.5000  0.0000  2 Ga 2.32
Pt  0.5000  0.0000  0.0000  2 Ga 2.32

Entry 17:
A plane-wave DFT calculation with PBEsol was carried out for a relaxed structure of RbGaI3.

Summary:
DFT total energy	-2.74	eV/atom
magnetic moment	0.00	μB/cell
space-group type	Pm-3m (221)

abc: 5.7417 5.7417 5.7417
angles: 90.00 90.00 90.00
With the nearest neighbours (Å) after each atom.
Atoms (fractional coordinates):
I  0.0000  0.5000  0.0000  2 Ga 2.87
I  0.5000  0.0000  0.0000  2 Ga 2.87
I  0.0000  0.0000  0.5000  2 Ga 2.87
Rb  0.5000  0.5000  0.5000  12 I 4.06
Ga  0.0000  0.0000  0.0000  6 I 2.87

Entry 18:
A plane-wave DFT calculation with PBEsol was carried out for a relaxed structure of RbGaI2.

Summary:
DFT total energy	-2.71	eV/atom
magnetic moment	0.00	μB/cell
space-group type	I-42d (122)

abc: 7.3759 7.3759 9.7731
angles: 112.17 112.17 90.00
With the nearest neighbours (Å) after each atom.
Atoms (fractional coordinates):
I  0.1250  0.1767  0.7500  2 Ga 3.13
I  0.6250  0.5733  0.7500  2 Ga 3.13
I  0.4267  0.8750  0.2500  2 Ga 3.13
I  0.8233  0.3750  0.2500  2 Ga 3.13
Ga  0.5000  0.5000  0.0000  4 I 3.13
Ga  0.7500  0.2500  0.5000  4 I 3.13
Rb  0.2500  0.7500  0.5000  4 I 3.55
Rb  0.0000  0.0000  0.0000  4 I 3.55

Entry 19:
A plane-wave DFT calculation with PBEsol was carried out for a relaxed structure of ScGaReI2.

Summary:
DFT total energy	-4.50	eV/atom
magnetic moment	3.03	μB/cell
space-group type	P4/mmm (123)

abc: 4.9927 5.6417 5.6417
angles: 90.00 90.00 90.00
With the nearest neighbours (Å) after each atom.
Atoms (fractional coordinates):
I  0.0000  0.5000  0.0000  2 Sc 2.82
I  0.0000  0.0000  0.5000  2 Sc 2.82
Ga  0.5000  0.5000  0.5000  8 I 3.77, 4 Re 3.99
Re  0.5000  0.0000  0.0000  2 Sc 2.50
Sc  0.0000  0.0000  0.0000  2 Re 2.50

Entry 20:
A plane-wave DFT calculation with PBEsol was carried out for a relaxed structure of GaReTe2I.

Summary:
DFT total energy	-3.65	eV/atom
magnetic moment	4.52	μB/cell
space-group type	P4/mmm (123)

abc: 5.3161 5.3161 5.2591
angles: 90.00 90.00 90.00
With the nearest neighbours (Å) after each atom.
Atoms (fractional coordinates):
Te  0.0000  0.5000  0.0000  2 Ga 2.66
Te  0.5000  0.0000  0.0000  2 Ga 2.66
Ga  0.0000  0.0000  0.0000  2 I 2.63, 4 Te 2.66
I  0.0000  0.0000  0.5000  2 Ga 2.63
Re  0.5000  0.5000  0.5000  8 Te 3.74, 4 I 3.76

How do the records compare in uncorrected formation energy? In the order shown, they have -0.751, 1.100, 0.307, 0.710, -0.258, 0.162, -0.701, -0.043, -0.381, 2.074, 1.572, 0.745, -0.045, 0.194, 0.171, 0.661, -0.803, -0.733, 0.866, 1.447 eV/atom.
How do the records compare in ρ? In the order shown, they have 5.923, 2.827, 7.543, 7.896, 6.384, 6.381, 3.924, 5.893, 6.425, 5.273, 7.058, 5.602, 6.645, 7.471, 6.198, 12.916, 4.701, 3.021, 5.796, 7.128 g/cm3.